CeCo2SiN | GGA-PBE | relaxed

Formation energy (no corrections) ... -406 kJ/mol of formula units
Crystal system ... orthorhombic
Total energy ... -76.194 eV/cell
Space group ... Cmcm
M_tot ... 2.07 μB/cell

Lattice parameters (Å, degrees): 3.583 5.761 6.770 90.00 90.00 108.12
Each line ends with the local moment (μB).
Sites, in units of the cell vectors:
N 0.000 0.000 0.000  0.06
N 0.000 0.000 0.500  0.06
Co 0.167 0.334 0.553  0.47
Co 0.167 0.334 0.947  0.47
Co 0.833 0.666 0.447  0.47
Co 0.833 0.666 0.053  0.47
Ce 0.455 0.910 0.750  0.06
Ce 0.545 0.090 0.250  0.06
Si 0.728 0.456 0.750  -0.01
Si 0.272 0.544 0.250  -0.01

---

CeSm2CoN4 | GGA-PBE | relaxed

Formation energy (no corrections) ... -765 kJ/mol of formula units
Crystal system ... orthorhombic
Total energy ... -127.420 eV/cell
Space group ... Cmcm
M_tot ... 2.74 μB/cell

Lattice parameters (Å, degrees): 3.426 5.983 11.800 90.00 90.00 106.63
Each line ends with the local moment (μB).
Sites, in units of the cell vectors:
N 0.723 0.446 0.863  0.06
N 0.564 0.128 0.250  0.04
N 0.000 0.000 0.000  0.04
N 0.277 0.554 0.137  0.06
N 0.277 0.554 0.363  0.06
N 0.723 0.446 0.637  0.06
N 0.000 0.000 0.500  0.04
N 0.436 0.872 0.750  0.04
Co 0.158 0.316 0.250  0.89
Co 0.842 0.684 0.750  0.89
Sm 0.368 0.737 0.551  0.01
Sm 0.632 0.263 0.051  0.01
Sm 0.632 0.263 0.449  0.01
Sm 0.368 0.737 0.949  0.01
Ce 0.107 0.214 0.750  0.12
Ce 0.893 0.786 0.250  0.12

---

Ce6CoSn2N | GGA-PBE | relaxed

Formation energy (no corrections) ... -567 kJ/mol of formula units
Crystal system ... tetragonal
Total energy ... -64.914 eV/cell
Space group ... I4/mmm
M_tot ... 4.17 μB/cell

Lattice parameters (Å, degrees): 7.136 7.137 7.120 59.93 59.93 89.99
Each line ends with the local moment (μB).
Sites, in units of the cell vectors:
N 0.000 0.000 0.000  -0.02
Ce 0.240 0.240 0.000  0.59
Ce 0.760 0.240 0.000  0.59
Ce 0.242 0.242 0.518  0.58
Ce 0.760 0.760 0.000  0.59
Ce 0.240 0.760 0.000  0.59
Ce 0.758 0.758 0.482  0.58
Co 0.500 0.500 0.000  -0.14
Sn 0.750 0.250 0.500  -0.02
Sn 0.250 0.750 0.500  -0.02

---

SrCeCoN2 | GGA-PBE | relaxed

Formation energy (no corrections) ... -305 kJ/mol of formula units
Crystal system ... monoclinic
Total energy ... -69.058 eV/cell
Space group ... P2/c
M_tot ... 2.02 μB/cell

Lattice parameters (Å, degrees): 4.352 6.061 6.949 104.33 90.00 90.00
Each line ends with the local moment (μB).
Sites, in units of the cell vectors:
N 0.288 0.766 0.472  0.12
N 0.712 0.234 0.528  0.12
N 0.712 0.766 0.972  0.12
N 0.288 0.234 0.028  0.12
Co 0.000 0.000 0.000  1.04
Co 0.000 0.000 0.500  1.04
Sr 0.172 0.500 0.750  -0.01
Sr 0.828 0.500 0.250  -0.01
Ce 0.545 0.000 0.750  -0.26
Ce 0.455 0.000 0.250  -0.26

---

CeTaCoN3 | GGA-PBE | relaxed

Formation energy (no corrections) ... -554 kJ/mol of formula units
Crystal system ... monoclinic
Total energy ... -111.228 eV/cell
Space group ... P2_1/m
M_tot ... 0.93 μB/cell

Lattice parameters (Å, degrees): 3.210 6.724 7.122 104.72 90.00 90.00
Each line ends with the local moment (μB).
Sites, in units of the cell vectors:
Ce 0.750 0.809 0.778  0.01
Ce 0.250 0.191 0.222  0.01
Ta 0.250 0.670 0.158  0.02
Ta 0.750 0.330 0.842  0.02
N 0.750 0.442 0.150  0.00
N 0.250 0.122 0.874  0.01
N 0.250 0.558 0.850  0.00
N 0.750 0.878 0.126  0.01
N 0.250 0.794 0.493  0.03
N 0.750 0.206 0.507  0.03
Co 0.750 0.896 0.405  0.36
Co 0.250 0.104 0.595  0.36

---

CeTa4CoN8 | GGA-PBE | relaxed

Formation energy (no corrections) ... -1094 kJ/mol of formula units
Crystal system ... trigonal
Total energy ... -138.388 eV/cell
Space group ... R3m
M_tot ... 1.93 μB/cell

Lattice parameters (Å, degrees): 6.185 6.185 6.489 61.54 61.54 60.00
Each line ends with the local moment (μB).
Sites, in units of the cell vectors:
N 0.755 0.755 0.734  0.00
N 0.260 0.260 0.714  0.04
N 0.767 0.260 0.714  0.04
N 0.241 0.241 0.278  0.01
N 0.242 0.741 0.276  0.00
N 0.741 0.242 0.276  0.00
N 0.741 0.741 0.276  0.00
N 0.260 0.767 0.714  0.04
Ce 0.999 0.999 0.004  -0.06
Ta 0.481 0.004 0.510  -0.04
Ta 0.004 0.481 0.510  -0.04
Ta 0.004 0.004 0.510  -0.04
Ta 0.625 0.625 0.125  -0.02
Co 0.380 0.380 0.859  1.97

---

Tb2CeCoN4 | GGA-PBE | relaxed

Formation energy (no corrections) ... -855 kJ/mol of formula units
Crystal system ... orthorhombic
Total energy ... -128.930 eV/cell
Space group ... Cmcm
M_tot ... 3.00 μB/cell

Lattice parameters (Å, degrees): 3.384 5.915 11.571 90.00 90.00 106.62
Each line ends with the local moment (μB).
Sites, in units of the cell vectors:
Co 0.844 0.688 0.750  0.97
Co 0.156 0.312 0.250  0.97
Tb 0.631 0.262 0.050  0.03
Tb 0.369 0.738 0.550  0.03
Tb 0.631 0.262 0.450  0.03
Tb 0.369 0.738 0.950  0.03
N 0.563 0.125 0.250  0.04
N 0.274 0.548 0.133  0.06
N 0.000 0.000 0.000  0.04
N 0.437 0.875 0.750  0.04
N 0.726 0.452 0.867  0.06
N 0.274 0.548 0.367  0.06
N 0.726 0.452 0.633  0.06
N 0.000 0.000 0.500  0.04
Ce 0.892 0.785 0.250  0.12
Ce 0.108 0.215 0.750  0.12

---

CeTh2CoN4 | GGA-PBE | relaxed

Formation energy (no corrections) ... -921 kJ/mol of formula units
Crystal system ... orthorhombic
Total energy ... -141.458 eV/cell
Space group ... Cmcm
M_tot ... 1.98 μB/cell

Lattice parameters (Å, degrees): 3.517 6.101 11.906 90.00 90.00 106.75
Each line ends with the local moment (μB).
Sites, in units of the cell vectors:
Th 0.632 0.264 0.061  -0.02
Th 0.368 0.736 0.939  -0.02
Th 0.368 0.736 0.561  -0.02
Th 0.632 0.264 0.439  -0.02
N 0.545 0.090 0.250  0.06
N 0.726 0.452 0.873  0.05
N 0.000 0.000 0.500  0.02
N 0.455 0.910 0.750  0.06
N 0.274 0.548 0.373  0.05
N 0.000 0.000 0.000  0.02
N 0.726 0.452 0.627  0.05
N 0.274 0.548 0.127  0.05
Co 0.843 0.686 0.750  1.20
Co 0.157 0.314 0.250  1.20
Ce 0.105 0.211 0.750  -0.33
Ce 0.895 0.789 0.250  -0.33

---

- Which formula does entry 6 have?
  CeTa4CoN8

---

Copy entry 3 word for word.
Ce6CoSn2N | GGA-PBE | relaxed

Formation energy (no corrections) ... -567 kJ/mol of formula units
Crystal system ... tetragonal
Total energy ... -64.914 eV/cell
Space group ... I4/mmm
M_tot ... 4.17 μB/cell

Lattice parameters (Å, degrees): 7.136 7.137 7.120 59.93 59.93 89.99
Each line ends with the local moment (μB).
Sites, in units of the cell vectors:
N 0.000 0.000 0.000  -0.02
Ce 0.240 0.240 0.000  0.59
Ce 0.760 0.240 0.000  0.59
Ce 0.242 0.242 0.518  0.58
Ce 0.760 0.760 0.000  0.59
Ce 0.240 0.760 0.000  0.59
Ce 0.758 0.758 0.482  0.58
Co 0.500 0.500 0.000  -0.14
Sn 0.750 0.250 0.500  -0.02
Sn 0.250 0.750 0.500  -0.02

---

- The highest total energy belongs to which entry?
  Ce6CoSn2N